Record 1
First-principles (GGA-PBE) data for a relaxed structure of Nd4PuTl5, as listed in the Alexandria database.

Unit cell a=3.6988 b=3.6988 c=21.4631 alpha=90.00 beta=90.00 gamma=90.00
Each line ends with the local moment (μB).
Positions (direct):
Nd (0.0000, 0.0000, 0.1996)  0.03
Nd (0.0000, 0.0000, 0.4001)  -0.03
Nd (0.0000, 0.0000, 0.5999)  -0.03
Nd (0.0000, 0.0000, 0.8004)  0.03
Pu (0.0000, 0.0000, 0.0000)  -5.53
Tl (0.5000, 0.5000, 0.0986)  0.01
Tl (0.5000, 0.5000, 0.2994)  0.00
Tl (0.5000, 0.5000, 0.5000)  0.00
Tl (0.5000, 0.5000, 0.7006)  0.00
Tl (0.5000, 0.5000, 0.9014)  0.01

Computed properties:
- Formation energy: -0.303 eV per atom


Record 2
First-principles (GGA-PBE) data for a relaxed structure of OsPdO2F, as listed in the Alexandria database.

Unit cell a=3.7319 b=3.7319 c=4.8446 alpha=90.00 beta=90.00 gamma=90.00
Positions (direct):
Os (0.0000, 0.0000, 0.0000)
O (0.0000, 0.5000, 0.0000)
O (0.5000, 0.0000, 0.0000)
Pd (0.5000, 0.5000, 0.5000)
F (0.0000, 0.0000, 0.5000)

Computed properties:
- Formation energy without anion corrections: -1.93 eV/f.u.